# 1
A relaxed structure of Ba2MgAg. Source: the Alexandria database, functional GGA-PBE.

a b c (Å): 5.022 4.987 6.957
angles (deg): 69.01 90.00 90.00
Atoms (fractional coordinates):
Mg (0.000, 0.682, 0.509)
Ba (0.000, 0.982, 0.912)
Ba (0.500, 0.267, 0.340)
Ag (0.500, 0.568, 0.739)

Properties
* space-group type: Amm2, No. 38
* energy of formation from the pure elements: -0.58 eV per formula unit
* magnetic moment: 0.00 μB/cell

---

# 2
A relaxed structure of BaMg2Ag. Source: the Alexandria database, functional GGA-PBE.

a b c (Å): 6.279 6.279 3.444
angles (deg): 90.00 90.00 116.84
Atoms (fractional coordinates):
Ag (0.500, 0.000, 0.500)
Ba (0.000, 0.500, 0.500)
Mg (0.000, 0.000, 0.000)
Mg (0.500, 0.500, 0.000)

Properties
* space-group type: Cmmm, No. 65
* energy of formation from the pure elements: 0.82 eV per formula unit
* magnetic moment: 0.00 μB/cell

---

# 3
A relaxed structure of Ba2MgAg. Source: the Alexandria database, functional GGA-PBE.

a b c (Å): 7.036 7.036 5.930
angles (deg): 64.68 64.68 34.85
Atoms (fractional coordinates):
Mg (0.556, 0.556, 0.441)
Ba (0.964, 0.964, 0.035)
Ba (0.767, 0.767, 0.735)
Ag (0.213, 0.213, 0.290)

Properties
* space-group type: Cm, No. 8
* energy of formation from the pure elements: -0.37 eV per formula unit
* magnetic moment: 0.00 μB/cell

---

# 4
A relaxed structure of Ba3Mg2Ag3. Source: the Alexandria database, functional GGA-PBE.

a b c (Å): 7.028 9.113 16.855
angles (deg): 90.00 90.00 90.00
Atoms (fractional coordinates):
Ba (0.146, 0.464, 0.395)
Ba (0.646, 0.036, 0.605)
Ba (0.854, 0.536, 0.895)
Ba (0.354, 0.964, 0.105)
Ba (0.854, 0.536, 0.605)
Ba (0.354, 0.964, 0.395)
Ba (0.146, 0.464, 0.105)
Ba (0.646, 0.036, 0.895)
Ba (0.616, 0.318, 0.250)
Ba (0.116, 0.182, 0.750)
Ba (0.384, 0.682, 0.750)
Ba (0.884, 0.818, 0.250)
Mg (0.874, 0.113, 0.407)
Mg (0.374, 0.387, 0.593)
Mg (0.126, 0.887, 0.907)
Mg (0.626, 0.613, 0.093)
Mg (0.126, 0.887, 0.593)
Mg (0.626, 0.613, 0.407)
Mg (0.874, 0.113, 0.093)
Mg (0.374, 0.387, 0.907)
Ag (0.075, 0.171, 0.250)
Ag (0.575, 0.329, 0.750)
Ag (0.925, 0.829, 0.750)
Ag (0.425, 0.671, 0.250)
Ag (0.603, 0.316, 0.458)
Ag (0.103, 0.184, 0.542)
Ag (0.397, 0.684, 0.958)
Ag (0.897, 0.816, 0.042)
Ag (0.397, 0.684, 0.542)
Ag (0.897, 0.816, 0.458)
Ag (0.603, 0.316, 0.042)
Ag (0.103, 0.184, 0.958)

Properties
* space-group type: Pnma, No. 62
* energy of formation from the pure elements: -1.69 eV per formula unit
* magnetic moment: 0.00 μB/cell